[1]
A plane-wave DFT calculation with PBE was carried out for an optimized crystal structure of PmErMnTl.

Lattice parameters (Å, degrees): 7.4414 7.4414 7.4414 90.00 90.00 90.00
Closest atoms and distances in Å follow each position.
Space group F-43m (No. 216)
Asymmetric unit:
Pm (0.0000, 0.0000, 0.0000)  4 Tl 3.22, 4 Mn 3.22
Er (0.0000, 0.0000, 0.5000)  4 Mn 3.22, 4 Tl 3.22
Mn (0.2500, 0.2500, 0.7500)  4 Er 3.22, 4 Pm 3.22
Tl (0.2500, 0.2500, 0.2500)  4 Er 3.22, 4 Pm 3.22

Properties
The final energy is -20.9 eV per formula unit. As for the size of the total moment: 3.348 μB/f.u.


[2]
A plane-wave DFT calculation with PBE was carried out for an optimized crystal structure of PrEr2Mn.

Lattice parameters (Å, degrees): 3.4703 3.4703 9.0791 90.00 90.00 90.00
Closest atoms and distances in Å follow each position.
Space group P4/mmm (No. 123)
Asymmetric unit:
Pr (0.0000, 0.0000, 0.0000)  4 Pr 3.47, 8 Er 3.74
Er (0.5000, 0.5000, 0.3103)  4 Mn 3.00
Mn (0.0000, 0.0000, 0.5000)  8 Er 3.00

Properties
The final energy is -22.7 eV per formula unit. As for the size of the total moment: 2.855 μB/f.u. The value obtained for the energy above the most stable polymorph in this dataset is 0.000 eV/atom.


[3]
A plane-wave DFT calculation with PBE was carried out for an optimized crystal structure of PrErMn17.

Lattice parameters (Å, degrees): 8.6924 8.6924 11.6864 90.00 90.00 120.00
Closest atoms and distances in Å follow each position.
Space group R3m (No. 160, hexagonal axes)
Asymmetric unit:
Pr (0.0000, 0.0000, 0.0000)  16 Mn 2.96-3.30
Er (0.0000, 0.0000, 0.7100)  16 Mn 2.95-3.30
Mn (0.0000, 0.0000, 0.2584)  1 Mn 2.32
Mn (0.0000, 0.0000, 0.4572)  1 Mn 2.32
Mn (0.0009, 0.2742, 0.3580)  7 Mn 2.32-2.58
Mn (0.0166, 0.5083, 0.2186)  9 Mn 2.46-2.71
Mn (0.1675, 0.3350, 0.1917)  8 Mn 2.32-2.49
Mn (0.1737, 0.3475, 0.8279)  9 Mn 2.49-2.71

Properties
The final energy is -164.6 eV per formula unit. As for the size of the total moment: 4.271 μB/f.u.


[4]
A plane-wave DFT calculation with PBE was carried out for an optimized crystal structure of PrEr2Mn.

Lattice parameters (Å, degrees): 3.4127 3.4127 34.1429 90.00 90.00 120.00
Closest atoms and distances in Å follow each position.
Space group R-3m (No. 166, hexagonal axes)
Asymmetric unit:
Pr (0.0000, 0.0000, 0.0000)  6 Pr 3.41, 6 Er 3.55
Er (0.0000, 0.0000, 0.4200)  1 Mn 2.73
Mn (0.0000, 0.0000, 0.5000)  2 Er 2.73

Properties
The final energy is -20.9 eV per formula unit. As for the size of the total moment: 3.042 μB/f.u. The value obtained for the energy above the most stable polymorph in this dataset is 0.426 eV/atom.


[5]
A plane-wave DFT calculation with PBE was carried out for an optimized crystal structure of PrEr3Mn8.

Lattice parameters (Å, degrees): 8.8496 5.3911 8.6568 90.00 93.81 90.00
Closest atoms and distances in Å follow each position.
Space group Cm (No. 8)
Asymmetric unit:
Pr (0.0000, 0.0000, 0.0000)  12 Mn 3.00-3.21, 4 Er 3.09-3.29
Er (0.0007, 0.0000, 0.6222)  12 Mn 2.96-3.15, 3 Er 3.19-3.23, 1 Pr 3.27
Er (0.3322, 0.0000, 0.4984)  12 Mn 2.95-3.14, 4 Er 3.19-3.23
Er (0.3348, 0.0000, 0.1259)  12 Mn 2.98-3.21, 3 Pr 3.09-3.29, 1 Er 3.23
Mn (0.0004, 0.5000, 0.8112)  6 Mn 2.56-2.70
Mn (0.0824, 0.2582, 0.3212)  6 Mn 2.52-2.78
Mn (0.1662, 0.5000, 0.5609)  6 Mn 2.52-2.70
Mn (0.1677, 0.5000, 0.0646)  6 Mn 2.52-2.77
Mn (0.2514, 0.2556, 0.8020)  6 Mn 2.54-2.77
Mn (0.3333, 0.5000, 0.3124)  6 Mn 2.52-2.69

Properties
The final energy is -91.0 eV per formula unit. As for the size of the total moment: 4.328 μB/f.u.


[6]
A plane-wave DFT calculation with PBE was carried out for an optimized crystal structure of Pr2ErMnS5.

Lattice parameters (Å, degrees): 3.9387 16.6046 12.0366 90.00 90.00 90.00
Closest atoms and distances in Å follow each position.
Space group Cmc2_1 (No. 36)
Asymmetric unit:
Pr (0.0000, 0.1183, 0.0000)  8 S 2.95-3.09
Pr (0.0000, 0.1230, 0.6491)  8 S 2.93-3.26
Er (0.0000, 0.1861, 0.3323)  6 S 2.68-2.76
Mn (0.0000, 0.4488, 0.7376)  4 S 2.29-2.42
S (0.0000, 0.0211, 0.3331)  2 Mn 2.33
S (0.0000, 0.3003, 0.9887)  2 Er 2.73, 3 Pr 3.03-3.04
S (0.0000, 0.3111, 0.6717)  1 Mn 2.42
S (0.0000, 0.3475, 0.3242)  1 Er 2.68, 4 Pr 2.93-2.95
S (0.0000, 0.4937, 0.0646)  1 Mn 2.29

Properties
The final energy is -59.5 eV per formula unit. The value obtained for the uncorrected formation energy is -15.56 eV/f.u. As for the size of the total moment: 4.379 μB/f.u.


[7]
A plane-wave DFT calculation with PBE was carried out for an optimized crystal structure of Pr2ErMnSe5.

Lattice parameters (Å, degrees): 4.0895 17.4161 12.5429 90.00 90.00 90.00
Closest atoms and distances in Å follow each position.
Space group Cmc2_1 (No. 36)
Asymmetric unit:
Pr (0.0000, 0.1184, 0.0000)  8 Se 3.05-3.29
Pr (0.0000, 0.1213, 0.3501)  8 Se 3.07-3.24
Er (0.0000, 0.1832, 0.6798)  6 Se 2.83-2.90
Mn (0.0000, 0.4452, 0.0825)  4 Se 2.42-2.54
Se (0.0000, 0.0185, 0.6802)  2 Mn 2.47
Se (0.0000, 0.3028, 0.3386)  2 Er 2.87, 3 Pr 3.16-3.19
Se (0.0000, 0.3071, 0.0168)  1 Mn 2.54
Se (0.0000, 0.3454, 0.6736)  1 Er 2.83, 4 Pr 3.05-3.07
Se (0.0000, 0.4954, 0.4077)  1 Mn 2.42

Properties
The final energy is -54.7 eV per formula unit. The value obtained for the uncorrected formation energy is -14.01 eV/f.u. As for the size of the total moment: 4.362 μB/f.u.


[8]
A plane-wave DFT calculation with PBE was carried out for an optimized crystal structure of Er3MnPt12.

Lattice parameters (Å, degrees): 4.0684 4.0684 16.1779 90.00 90.00 90.00
Closest atoms and distances in Å follow each position.
Space group P4/mmm (No. 123)
Asymmetric unit:
Er (0.0000, 0.0000, 0.0000)  12 Pt 2.88-2.90
Er (0.0000, 0.0000, 0.2546)  12 Pt 2.88-2.92
Mn (0.0000, 0.0000, 0.5000)  12 Pt 2.77-2.88
Pt (0.0000, 0.5000, 0.1276)  8 Pt 2.88-2.91, 4 Er 2.89-2.90
Pt (0.0000, 0.5000, 0.3838)  8 Pt 2.77-2.90, 2 Mn 2.77, 2 Er 2.92
Pt (0.5000, 0.5000, 0.0000)  4 Er 2.88, 8 Pt 2.90
Pt (0.5000, 0.5000, 0.2559)  4 Er 2.88, 8 Pt 2.90-2.91
Pt (0.5000, 0.5000, 0.5000)  8 Pt 2.77, 4 Mn 2.88

Properties
The final energy is -109.4 eV per formula unit. As for the size of the total moment: 4.207 μB/f.u.